# TlTeWO6 | the Alexandria database | PBE+U | relaxed
data_TlTeWO6
_cell_length_a 5.4484
_cell_length_b 5.4484
_cell_length_c 6.2084
_cell_angle_alpha 90.00
_cell_angle_beta 90.00
_cell_angle_gamma 120.00
_space_group_name_H-M_alt 'P 3 1 2'
_space_group_IT_number 149
_space_group_name_Hall 'P 3 2'
loop_
_atom_site_label
_atom_site_type_symbol
_atom_site_fract_x
_atom_site_fract_y
_atom_site_fract_z
Tl1 Tl 0.0000 0.0000 0.0000
Te1 Te 0.6667 0.3333 0.5000
W1 W 0.3333 0.6667 0.5000
O1 O 0.0078 0.4081 0.6827
# **Fermi-level density of states**: 1.3 states/eV per cell
# **Total magnetic moment**: 0.050 μB/atom
# **Final energy**: -6.07 eV/atom